{"formula": "SbAuSe2N", "functional": "PBE-GGA", "state": "optimized geometry", "lattice_angstrom": [[4.778, 0.000, 0.000], [0.000, 4.778, 0.000], [0.000, 0.000, 4.230]], "species": ["Sb", "Au", "Se", "Se", "N"], "frac_coords": [[0.500, 0.500, 0.500], [0.000, 0.000, 0.500], [0.000, 0.500, 0.000], [0.500, 0.000, 0.000], [0.000, 0.000, 0.000]], "raw_formation_energy_mev_per_atom": 790.9, "m_tot_mub_per_fu": 0.00, "vol_a3_per_fu": 97}